(1)
Here is CeNd2Sm3As6 after structural relaxation from Alexandria. Energies are from PBE.

Unit cell a=4.2367 b=8.4695 c=9.4580 alpha=102.90 beta=102.94 gamma=90.00
Closest atoms and distances in Å follow each position.
Element x y z (fractional)
Ce (0.5000, 0.0000, 0.0000)  6 As 2.97-2.98
Nd (0.8329, 0.6653, 0.6658)  6 As 3.00-3.02
Nd (0.1671, 0.3347, 0.3342)  6 As 3.00-3.02
Sm (0.5000, 0.5000, 0.0000)  6 As 2.98-3.01
Sm (0.8324, 0.1672, 0.6648)  6 As 2.97-3.00
Sm (0.1676, 0.8328, 0.3352)  6 As 2.97-3.00
As (0.3347, 0.9199, 0.6694)  1 Ce 2.97, 3 Sm 2.99-3.00, 2 Nd 3.02
As (0.6658, 0.5855, 0.3316)  3 Sm 2.97-2.98, 3 Nd 3.00
As (0.6653, 0.0801, 0.3306)  1 Ce 2.97, 3 Sm 2.99-3.00, 2 Nd 3.02
As (0.9990, 0.2470, 0.9980)  2 Ce 2.98, 3 Sm 2.99-3.01, 1 Nd 3.02
As (0.0010, 0.7530, 0.0020)  2 Ce 2.98, 3 Sm 2.99-3.01, 1 Nd 3.02
As (0.3342, 0.4145, 0.6684)  3 Sm 2.97-2.98, 3 Nd 3.00

Calculated values
Formation energy from the elements = -1.5118 eV per atom

=====

(2)
Here is Ce3NdSm2As6 after structural relaxation from Alexandria. Energies are from PBE.

Unit cell a=7.3175 b=7.3175 c=7.3160 alpha=99.60 beta=99.60 gamma=120.00
Closest atoms and distances in Å follow each position.
Element x y z (fractional)
Ce (0.1662, 0.8338, 0.5000)  6 As 2.96-2.98
Ce (0.8338, 0.1662, 0.5000)  6 As 2.96-2.98
Ce (0.5000, 0.5000, 0.5000)  6 As 2.96-2.98
Nd (0.0000, 0.0000, 0.0000)  6 As 3.01
Sm (0.3332, 0.6668, 0.0000)  6 As 2.99-3.00
Sm (0.6668, 0.3332, 0.0000)  6 As 2.99-3.00
As (0.9154, 0.5801, 0.7463)  3 Ce 2.96-2.98, 2 Sm 2.99-3.00, 1 Nd 3.01
As (0.7490, 0.7490, 0.2532)  3 Ce 2.96-2.98, 2 Sm 3.00, 1 Nd 3.01
As (0.0846, 0.4199, 0.2537)  3 Ce 2.96-2.98, 2 Sm 2.99-3.00, 1 Nd 3.01
As (0.5801, 0.9154, 0.7463)  3 Ce 2.96-2.98, 2 Sm 2.99-3.00, 1 Nd 3.01
As (0.2510, 0.2510, 0.7468)  3 Ce 2.96-2.98, 2 Sm 3.00, 1 Nd 3.01
As (0.4199, 0.0846, 0.2537)  3 Ce 2.96-2.98, 2 Sm 2.99-3.00, 1 Nd 3.01

Calculated values
Formation energy from the elements = -1.4801 eV per atom

=====

(3)
Here is Sr3Ce2NdAs6 after structural relaxation from Alexandria. Energies are from PBE.

Unit cell a=7.5351 b=7.5351 c=7.5654 alpha=99.57 beta=99.57 gamma=120.03
Closest atoms and distances in Å follow each position.
Element x y z (fractional)
Sr (0.1647, 0.8353, 0.5000)  6 As 3.17-3.22
Sr (0.8353, 0.1647, 0.5000)  6 As 3.17-3.22
Sr (0.5000, 0.5000, 0.5000)  6 As 3.15-3.22
Ce (0.3333, 0.6667, 0.0000)  6 As 2.95
Ce (0.6667, 0.3333, 0.0000)  6 As 2.95
Nd (0.0000, 0.0000, 0.0000)  6 As 3.02
As (0.9255, 0.5849, 0.7768)  2 Ce 2.95, 1 Nd 3.02, 3 Sr 3.17-3.22
As (0.7336, 0.7336, 0.2228)  2 Ce 2.95, 1 Nd 3.02, 3 Sr 3.15-3.20
As (0.0745, 0.4151, 0.2232)  2 Ce 2.95, 1 Nd 3.02, 3 Sr 3.17-3.22
As (0.5849, 0.9255, 0.7768)  2 Ce 2.95, 1 Nd 3.02, 3 Sr 3.17-3.22
As (0.2664, 0.2664, 0.7772)  2 Ce 2.95, 1 Nd 3.02, 3 Sr 3.15-3.20
As (0.4151, 0.0745, 0.2232)  2 Ce 2.95, 1 Nd 3.02, 3 Sr 3.17-3.22

Calculated values
Formation energy from the elements = -1.2553 eV per atom

=====

(4)
Here is Tb4Ce3NdAs8 after structural relaxation from Alexandria. Energies are from PBE.

Unit cell a=8.3717 b=8.3624 c=8.3741 alpha=120.05 beta=119.99 gamma=90.00
Closest atoms and distances in Å follow each position.
Element x y z (fractional)
Tb (0.5000, 0.0000, 0.0000)  6 As 2.93
Tb (0.5000, 0.0000, 0.5000)  6 As 2.95
Tb (0.0000, 0.0000, 0.0000)  6 As 2.95
Tb (0.0000, 0.0000, 0.5000)  6 As 2.95
Ce (0.5000, 0.5000, 0.0000)  6 As 2.97
Ce (0.5000, 0.5000, 0.5000)  6 As 2.97
Ce (0.0000, 0.5000, 0.5000)  6 As 2.97
Nd (0.0000, 0.5000, 0.0000)  6 As 2.99
As (0.2528, 0.7542, 0.0013)  3 Tb 2.93-2.95, 2 Ce 2.97, 1 Nd 2.99
As (0.2528, 0.7542, 0.5056)  3 Tb 2.93-2.95, 2 Ce 2.97, 1 Nd 2.99
As (0.2489, 0.2466, 0.4977)  3 Tb 2.95, 3 Ce 2.97
As (0.7486, 0.7542, 0.0013)  3 Tb 2.93-2.95, 2 Ce 2.97, 1 Nd 2.99
As (0.2514, 0.2458, 0.9987)  3 Tb 2.93-2.95, 2 Ce 2.97, 1 Nd 2.99
As (0.7511, 0.7534, 0.5023)  3 Tb 2.95, 3 Ce 2.97
As (0.7472, 0.2458, 0.4944)  3 Tb 2.93-2.95, 2 Ce 2.97, 1 Nd 2.99
As (0.7472, 0.2458, 0.9987)  3 Tb 2.93-2.95, 2 Ce 2.97, 1 Nd 2.99

Calculated values
Formation energy from the elements = -1.4970 eV per atom

=====

(5)
Here is TbCe2Nd3As6 after structural relaxation from Alexandria. Energies are from PBE.

Unit cell a=7.3221 b=7.3221 c=7.3303 alpha=99.58 beta=99.58 gamma=120.00
Closest atoms and distances in Å follow each position.
Element x y z (fractional)
Tb (0.0000, 0.0000, 0.0000)  6 As 2.96
Ce (0.3334, 0.6666, 0.0000)  6 As 2.96-2.97
Ce (0.6666, 0.3334, 0.0000)  6 As 2.96-2.97
Nd (0.1668, 0.8332, 0.5000)  6 As 3.02
Nd (0.8332, 0.1668, 0.5000)  6 As 3.02
Nd (0.5000, 0.5000, 0.5000)  6 As 3.02
As (0.9192, 0.5862, 0.7576)  1 Tb 2.96, 2 Ce 2.96, 3 Nd 3.02
As (0.7482, 0.7482, 0.2434)  1 Tb 2.96, 2 Ce 2.97, 3 Nd 3.02
As (0.0808, 0.4138, 0.2424)  1 Tb 2.96, 2 Ce 2.96, 3 Nd 3.02
As (0.5862, 0.9192, 0.7576)  1 Tb 2.96, 2 Ce 2.96, 3 Nd 3.02
As (0.2518, 0.2518, 0.7566)  1 Tb 2.96, 2 Ce 2.97, 3 Nd 3.02
As (0.4138, 0.0808, 0.2424)  1 Tb 2.96, 2 Ce 2.96, 3 Nd 3.02

Calculated values
Formation energy from the elements = -1.4937 eV per atom

=====

(6)
Here is TbCeNd2As4 after structural relaxation from Alexandria. Energies are from PBE.

Unit cell a=4.2235 b=7.3067 c=7.3182 alpha=109.40 beta=90.00 gamma=90.00
Closest atoms and distances in Å follow each position.
Element x y z (fractional)
Tb (0.0000, 0.0000, 0.0000)  6 As 2.95
Ce (0.5000, 0.5000, 0.0000)  6 As 2.95-2.96
Nd (0.5000, 0.0000, 0.5000)  6 As 3.01-3.02
Nd (0.0000, 0.5000, 0.5000)  6 As 3.02
As (0.5000, 0.2472, 0.2418)  1 Ce 2.95, 2 Tb 2.95, 3 Nd 3.02
As (0.5000, 0.7528, 0.7582)  1 Ce 2.95, 2 Tb 2.95, 3 Nd 3.02
As (0.0000, 0.2515, 0.7571)  1 Tb 2.95, 2 Ce 2.96, 3 Nd 3.01-3.02
As (0.0000, 0.7485, 0.2429)  1 Tb 2.95, 2 Ce 2.96, 3 Nd 3.01-3.02

Calculated values
Formation energy from the elements = -1.5011 eV per atom

=====

(7)
Here is CeNd2Te2As2 after structural relaxation from Alexandria. Energies are from PBE.

Unit cell a=5.3979 b=5.3979 c=8.8074 alpha=107.84 beta=107.84 gamma=90.00
Closest atoms and distances in Å follow each position.
Element x y z (fractional)
Ce (0.0000, 0.0000, 0.0000)  4 As 2.70
Nd (0.3847, 0.3847, 0.7694)  1 Te 3.08, 4 As 3.26
Nd (0.6153, 0.6153, 0.2306)  1 Te 3.08, 4 As 3.26
Te (0.1910, 0.1910, 0.3819)  1 Ce 3.03, 1 Nd 3.08
Te (0.8090, 0.8090, 0.6181)  1 Ce 3.03, 1 Nd 3.08
As (0.0000, 0.5000, 0.0000)  2 Ce 2.70
As (0.5000, 0.0000, 0.0000)  2 Ce 2.70

Calculated values
Formation energy without anion corrections = -7.296 eV per formula unit

=====

(8)
Here is Ce2NdTh3As6 after structural relaxation from Alexandria. Energies are from PBE.

Unit cell a=7.3609 b=7.3609 c=7.3528 alpha=99.60 beta=99.60 gamma=119.99
Closest atoms and distances in Å follow each position.
Element x y z (fractional)
Ce (0.3332, 0.6668, 0.0000)  6 As 2.99
Ce (0.6668, 0.3332, 0.0000)  6 As 2.99
Nd (0.0000, 0.0000, 0.0000)  6 As 3.02
Th (0.1658, 0.8342, 0.5000)  6 As 3.00-3.01
Th (0.8342, 0.1658, 0.5000)  6 As 3.00-3.01
Th (0.5000, 0.5000, 0.5000)  6 As 2.99-3.01
As (0.9168, 0.5807, 0.7503)  2 Ce 2.99, 3 Th 3.00-3.01, 1 Nd 3.02
As (0.7470, 0.7470, 0.2493)  3 Th 2.99-3.01, 2 Ce 2.99, 1 Nd 3.02
As (0.0832, 0.4193, 0.2497)  2 Ce 2.99, 3 Th 3.00-3.01, 1 Nd 3.02
As (0.5807, 0.9168, 0.7503)  2 Ce 2.99, 3 Th 3.00-3.01, 1 Nd 3.02
As (0.2530, 0.2530, 0.7507)  3 Th 2.99-3.01, 2 Ce 2.99, 1 Nd 3.02
As (0.4193, 0.0832, 0.2497)  2 Ce 2.99, 3 Th 3.00-3.01, 1 Nd 3.02

Calculated values
Formation energy from the elements = -1.4429 eV per atom

=====

Computed DOS(E_F) (states/eV per cell) in order:
6.11 16.78 13.00 17.77 11.75 6.27 1.33 14.92